Below is ScMn2TlC after structural relaxation, with properties calculated at the PBE level.

Its uncorrected energy is -36.34 eV per cell. As for the space group: No. 123. The magnetization comes out at 6.74 μB per cell.

Cell lengths 4.177, 4.177, 4.485 Å; angles 90.00, 90.00, 90.00 degrees
Last column: magnetic moment on the atom in μB.
Atoms (fractional coordinates):
Sc (0.000, 0.000, 0.500)  -0.03
Tl (0.500, 0.500, 0.500)  -0.08
Mn (0.000, 0.500, 0.000)  3.37
Mn (0.500, 0.000, 0.000)  3.37
C (0.000, 0.000, 0.000)  -0.09